# 1
A geometry-optimized YZn2Si structure. Source: the Alexandria database, functional PBE-GGA.

Unit cell a=3.3316 b=4.5285 c=5.1142 alpha=90.00 beta=90.00 gamma=90.00
Space group Pmmm (No. 47)
Asymmetric unit:
Y 0.0000 0.0000 0.0000 x1
Zn 0.5000 0.5000 0.2482 x2
Si 0.5000 0.0000 0.5000 x1

Mass density: 5.3 Mg/m³
Energy: -3.84 eV per atom
Size of the total moment: 0.0 μB per cell
E_form (uncorrected): -0.9 eV per formula unit



# 2
A geometry-optimized MgTi5 structure. Source: the Alexandria database, functional PBE-GGA.

Unit cell a=4.1874 b=12.2637 c=4.1592 alpha=90.00 beta=90.00 gamma=90.00
Space group Cmmm (No. 65)
Asymmetric unit:
Mg 0.0000 0.0000 0.0000 x2
Ti 0.0000 0.1717 0.5000 x4
Ti 0.0000 0.3292 0.0000 x4
Ti 0.0000 0.5000 0.5000 x2

Mass density: 4.1 Mg/m³
Energy: -6.74 eV per atom
Size of the total moment: 0.0 μB per cell
Formation energy: 0.11 eV/atom



# 3
A geometry-optimized CoCuP3 structure. Source: the Alexandria database, functional PBE-GGA.

Unit cell a=4.3367 b=4.3367 c=4.3367 alpha=90.00 beta=90.00 gamma=90.00
Space group Pm-3m (No. 221)
Asymmetric unit:
Co 0.0000 0.0000 0.0000 x1
Cu 0.5000 0.5000 0.5000 x1
P 0.0000 0.0000 0.5000 x3

Mass density: 4.4 Mg/m³
Energy: -4.79 eV per atom
Size of the total moment: 0.0 μB per cell
Formation energy: 0.69 eV/atom



# 4
A geometry-optimized Ti4Ge3Rh3 structure. Source: the Alexandria database, functional PBE-GGA.

Unit cell a=8.6176 b=8.6176 c=8.6176 alpha=90.00 beta=90.00 gamma=90.00
Space group I-43d (No. 220)
Asymmetric unit:
Ti 0.1163 0.1163 0.1163 x16
Ge 0.0000 0.2500 0.3750 x12
Rh 0.0000 0.2500 0.8750 x12

Mass density: 7.5 Mg/m³
Energy: -7.31 eV per atom
Size of the total moment: 0.0 μB per cell
Formation energy: -0.56 eV/atom



# 5
A geometry-optimized TbPm3Rh4 structure. Source: the Alexandria database, functional PBE-GGA.

Unit cell a=3.4247 b=4.9973 c=10.0097 alpha=90.00 beta=90.00 gamma=90.00
Space group Pmmm (No. 47)
Asymmetric unit:
Tb 0.0000 0.0000 0.0000 x1
Pm 0.0000 0.0000 0.5000 x1
Pm 0.0000 0.5000 0.2479 x2
Rh 0.5000 0.0000 0.2440 x2
Rh 0.5000 0.5000 0.0000 x1
Rh 0.5000 0.5000 0.5000 x1

Mass density: 9.7 Mg/m³
Energy: -6.76 eV per atom
Size of the total moment: 0.0 μB per cell
Formation energy: -0.72 eV/atom



# 6
A geometry-optimized TlCuI2N structure. Source: the Alexandria database, functional PBE-GGA.

Unit cell a=6.0244 b=6.0244 c=3.7478 alpha=90.00 beta=90.00 gamma=90.00
Space group P4/mmm (No. 123)
Asymmetric unit:
Tl 0.0000 0.0000 0.0000 x1
Cu 0.5000 0.5000 0.5000 x1
I 0.0000 0.5000 0.5000 x2
N 0.5000 0.5000 0.0000 x1

Mass density: 6.5 Mg/m³
Energy: -3.15 eV per atom
Size of the total moment: 2.2 μB per cell
E_form (uncorrected): 2.1 eV per formula unit



# 7
A geometry-optimized Rb2Sn2Au structure. Source: the Alexandria database, functional PBE-GGA.

Unit cell a=11.6355 b=8.7114 c=8.6000 alpha=90.00 beta=90.00 gamma=90.00
Space group Cmcm (No. 63)
Asymmetric unit:
Rb 0.2022 0.0000 0.0000 x8
Sn 0.0000 0.3290 0.0610 x8
Au 0.0000 0.4086 0.7500 x4

Mass density: 4.6 Mg/m³
Energy: -2.78 eV per atom
Size of the total moment: 0.0 μB per cell
Formation energy: -0.14 eV/atom



# 8
A geometry-optimized HgPtPb5 structure. Source: the Alexandria database, functional PBE-GGA.

Unit cell a=9.5894 b=11.2969 c=9.1192 alpha=90.00 beta=118.10 gamma=90.00
Space group C2/c (No. 15)
Asymmetric unit:
Hg 0.0000 0.0000 0.0000 x4
Pt 0.0000 0.4722 0.2500 x4
Pb 0.0000 0.2808 0.7500 x4
Pb 0.0727 0.2551 0.4438 x8
Pb 0.2065 0.4641 0.1009 x8

Mass density: 10.9 Mg/m³
Energy: -3.53 eV per atom
Size of the total moment: 0.0 μB per cell
Formation energy: 0.02 eV/atom



# 9
A geometry-optimized Ho2MnTc structure. Source: the Alexandria database, functional PBE-GGA.

Unit cell a=3.2696 b=3.2696 c=30.1364 alpha=90.00 beta=90.00 gamma=120.00
Space group R-3m (No. 166, hexagonal axes)
Asymmetric unit:
Ho 0.0000 0.0000 0.0976 x6
Mn 0.0000 0.0000 0.0000 x3
Tc 0.0000 0.0000 0.5000 x3

Mass density: 8.6 Mg/m³
Energy: -6.62 eV per atom
Size of the total moment: 10.7 μB per cell
Formation energy: 0.56 eV/atom



# 10
A geometry-optimized BeIn3As structure. Source: the Alexandria database, functional PBE-GGA.

Unit cell a=5.4036 b=5.4036 c=5.4036 alpha=90.00 beta=90.00 gamma=90.00
Space group Pm-3m (No. 221)
Asymmetric unit:
Be 0.0000 0.0000 0.0000 x1
In 0.0000 0.5000 0.5000 x3
As 0.5000 0.5000 0.5000 x1

Mass density: 4.5 Mg/m³
Energy: -2.48 eV per atom
Size of the total moment: 0.0 μB per cell
Formation energy: 0.84 eV/atom